A relaxed structure of BaTlFe2. Source: Alexandria via LeMat-Bulk, functional PBE-GGA.

```
BaTlFe2
1.0
4.917 0.000 0.000
0.000 4.917 0.000
0.000 0.000 3.787
Ba Tl Fe
1 1 2
direct
0.000 0.000 0.000
0.500 0.500 0.000
0.000 0.500 0.500
0.500 0.000 0.500
```

Calculated values
- Space-group type: P4/mmm
- Calculated density: 8.22 g/cm³
- Electronic total energy: -17.7 eV/cell